Record 1
# Mo2AsCl PBE-GGA optimized geometry
data_Mo2AsCl
_cell_length_a 4.363
_cell_length_b 2.974
_cell_length_c 5.339
_cell_angle_alpha 90.00
_cell_angle_beta 114.08
_cell_angle_gamma 90.00
_space_group_name_H-M_alt 'P 1 2/m 1'
_space_group_IT_number 10
loop_
_space_group_symop_operation_xyz
'x,y,z'
'-x,-y,-z'
'-x,y,-z'
'x,-y,z'
loop_
_atom_site_label
_atom_site_fract_x
_atom_site_fract_y
_atom_site_fract_z
_atom_site_occupancy
Mo1 0.000 0.000 0.000 1
Mo2 0.500 0.500 0.500 1
As1 0.000 0.000 0.500 1
Cl1 0.500 0.500 0.000 1
# M_tot: 0.00 μB per formula unit
# Offset from the most stable computed form: 542.2 meV per atom
# DFT total energy: -26.6 eV for the cell shown


Record 2
# MoAsPCl2 PBE-GGA optimized geometry
data_MoAsPCl2
_cell_length_a 4.783
_cell_length_b 4.783
_cell_length_c 4.926
_cell_angle_alpha 90.00
_cell_angle_beta 90.00
_cell_angle_gamma 90.00
_space_group_name_H-M_alt 'P 4/m m m'
_space_group_IT_number 123
_space_group_name_Hall '-P 4 2'
loop_
_atom_site_label
_atom_site_fract_x
_atom_site_fract_y
_atom_site_fract_z
_atom_site_occupancy
Mo1 0.000 0.000 0.000 1
As1 0.500 0.500 0.500 1
P1 0.000 0.000 0.500 1
Cl1 0.000 0.500 0.000 1
# M_tot: 3.23 μB per formula unit
# Offset from the most stable computed form: 0.0 meV per atom
# DFT total energy: -22.5 eV for the cell shown


Record 3
# MoAsP2Cl PBE-GGA optimized geometry
data_MoAsP2Cl
_cell_length_a 4.766
_cell_length_b 4.766
_cell_length_c 4.684
_cell_angle_alpha 90.00
_cell_angle_beta 90.00
_cell_angle_gamma 90.00
_space_group_name_H-M_alt 'P 4/m m m'
_space_group_IT_number 123
_space_group_name_Hall '-P 4 2'
loop_
_atom_site_label
_atom_site_fract_x
_atom_site_fract_y
_atom_site_fract_z
_atom_site_occupancy
Mo1 0.000 0.000 0.000 1
As1 0.500 0.500 0.500 1
P1 0.000 0.500 0.500 1
Cl1 0.500 0.500 0.000 1
# M_tot: 3.12 μB per formula unit
# Offset from the most stable computed form: 577.1 meV per atom
# DFT total energy: -22.4 eV for the cell shown


Number 1: uncorrected formation energy 0.386 eV per atom. Number 2: uncorrected formation energy 0.409 eV per atom. Number 3: uncorrected formation energy 1.141 eV per atom.